1.
LaNi2, optimized geometry, DFT PBEsol; Fermi-level density of states = 3.64 states/eV per cell; energy of formation = -0.33 eV/atom
1.0
5.1096 0.0000 0.0000
2.5548 4.4250 0.0000
2.5548 1.4750 4.1719
La Ni
2 4
Direct
0.7500 0.7500 0.7500 La
0.5000 0.5000 0.5000 La
0.6250 0.1250 0.1250 Ni
0.1250 0.1250 0.6250 Ni
0.1250 0.1250 0.1250 Ni
0.1250 0.6250 0.1250 Ni


2.
SrLa7Cu4Sn4O24, optimized geometry, DFT PBEsol; Fermi-level density of states = 5.39 states/eV per cell; formation energy from raw total energies = -2.3358 eV per atom
1.0
7.7586 0.0000 0.0000
0.0000 7.7624 -0.0203
0.0000 -0.2087 8.4430
Cu O La Sr Sn
4 24 7 1 4
Direct
0.2506 0.5002 0.9976 Cu
0.7494 0.5002 0.9976 Cu
0.2503 0.0006 0.9993 Cu
0.7497 0.0006 0.9993 Cu
0.1967 0.7509 0.5668 O
0.7016 0.2475 0.4246 O
0.2754 0.7506 0.9646 O
0.2991 0.5546 0.2679 O
0.1933 0.4502 0.7322 O
0.5000 0.9166 0.4656 O
0.2984 0.2475 0.4246 O
0.8033 0.7509 0.5668 O
0.7780 0.2502 0.0371 O
0.0000 0.9729 0.9796 O
0.7086 0.0408 0.7384 O
0.2914 0.0408 0.7384 O
0.2009 0.9492 0.2652 O
0.5000 0.4876 0.9920 O
0.0000 0.5215 0.0143 O
0.0000 0.0874 0.5339 O
0.7991 0.9492 0.2652 O
0.5000 0.0247 0.0288 O
0.7009 0.5546 0.2679 O
0.7246 0.7506 0.9646 O
0.2220 0.2502 0.0371 O
0.8067 0.4502 0.7322 O
0.5000 0.5334 0.5829 O
0.0000 0.4702 0.4132 O
0.0000 0.2087 0.2432 La
0.0000 0.7192 0.2316 La
0.0000 0.7188 0.7886 La
0.5000 0.7901 0.7579 La
0.0000 0.2306 0.8039 La
0.5000 0.7680 0.1967 La
0.5000 0.2842 0.2054 La
0.5000 0.2784 0.7702 Sr
0.7491 0.4984 0.5009 Sn
0.2501 0.0006 0.5016 Sn
0.7499 0.0006 0.5016 Sn
0.2509 0.4984 0.5009 Sn


3.
SrIn2Au, optimized geometry, DFT PBEsol; Fermi-level density of states = 2.39 states/eV per cell; energy of formation = -0.36 eV/atom
1.0
3.6540 0.0000 0.0000
0.0000 3.6540 0.0000
0.0000 0.0000 7.5757
Au In Sr
1 2 1
Direct
0.5000 0.5000 0.7881 Au
0.0000 0.0000 0.9748 In
0.5000 0.5000 0.2110 In
0.0000 0.0000 0.5261 Sr


4.
CrP2PdS, optimized geometry, DFT PBEsol; Fermi-level density of states = 3.97 states/eV per cell; formation energy from raw total energies = 0.4436 eV per atom
1.0
4.2628 0.0000 0.0000
0.0000 4.3912 0.0000
0.0000 0.0000 4.3912
Pd Cr S P
1 1 1 2
Direct
0.5000 0.5000 0.5000 Pd
0.0000 0.0000 0.0000 Cr
0.5000 0.0000 0.0000 S
0.0000 0.0000 0.5000 P
0.0000 0.5000 0.0000 P


5.
PrGaPd2, optimized geometry, DFT PBEsol; Fermi-level density of states = 6.98 states/eV per cell; energy of formation = -0.85 eV/atom
1.0
5.6778 0.0000 0.0000
0.0000 7.0564 0.0000
0.0000 0.0000 7.4958
Pd Pr Ga
8 4 4
Direct
0.5879 0.9465 0.3226 Pd
0.4121 0.0535 0.6774 Pd
0.5879 0.5535 0.3226 Pd
0.9121 0.9465 0.8226 Pd
0.0879 0.0535 0.1774 Pd
0.0879 0.4465 0.1774 Pd
0.4121 0.4465 0.6774 Pd
0.9121 0.5535 0.8226 Pd
0.8541 0.2500 0.5337 Pr
0.6459 0.2500 0.0337 Pr
0.1459 0.7500 0.4663 Pr
0.3541 0.7500 0.9663 Pr
0.6491 0.7500 0.6185 Ga
0.1491 0.2500 0.8815 Ga
0.3509 0.2500 0.3815 Ga
0.8509 0.7500 0.1185 Ga


6.
SiGeAu2F, optimized geometry, DFT PBEsol; Fermi-level density of states = 0.87 states/eV per cell; formation energy from raw total energies = 0.4121 eV per atom
1.0
4.7636 0.0000 0.0000
0.0000 4.7636 0.0000
0.0000 0.0000 4.7655
F Si Au Ge
1 1 2 1
Direct
0.5000 0.5000 0.5000 F
0.0000 0.0000 0.5000 Si
0.0000 0.5000 0.0000 Au
0.5000 0.0000 0.0000 Au
0.0000 0.0000 0.0000 Ge


7.
CaTeO3, optimized geometry, DFT PBEsol; Fermi-level density of states = 0.00 states/eV per cell; formation energy from raw total energies = -1.9569 eV per atom
1.0
-4.3169 -4.5099 -1.5470
3.3256 -1.1440 -5.9446
4.7961 -3.6543 3.3863
O Te Ca
12 4 4
Direct
0.4013 0.1824 0.9726 O
0.7958 0.4638 0.0774 O
0.9205 0.0824 0.8268 O
0.0795 0.9176 0.1732 O
0.9013 0.3176 0.4726 O
0.2958 0.0362 0.5774 O
0.7042 0.9638 0.4226 O
0.5987 0.8176 0.0274 O
0.5795 0.5824 0.6732 O
0.0987 0.6824 0.5274 O
0.2042 0.5362 0.9226 O
0.4205 0.4176 0.3268 O
0.7211 0.1720 0.6019 Te
0.7789 0.6720 0.8981 Te
0.2789 0.8280 0.3981 Te
0.2211 0.3280 0.1019 Te
0.2643 0.3795 0.6302 Ca
0.7357 0.6205 0.3698 Ca
0.2357 0.8795 0.8698 Ca
0.7643 0.1205 0.1302 Ca


8.
Ba5Mg18Ge13, optimized geometry, DFT PBEsol; Fermi-level density of states = 4.75 states/eV per cell; energy of formation = -0.44 eV/atom
1.0
-1.8226 2.5687 -3.1911
-10.2021 -10.1713 -2.3605
-2.3393 10.5429 9.8227
Mg Ba Ge
18 5 13
Direct
0.5024 0.3603 0.4824 Mg
0.0020 0.0000 0.4422 Mg
0.5024 0.8779 0.5176 Mg
0.5024 0.1221 0.6397 Mg
0.5016 0.2810 0.0000 Mg
0.5016 0.0000 0.2810 Mg
0.5024 0.4824 0.3603 Mg
0.0020 0.5578 0.5578 Mg
0.0026 0.8032 0.6253 Mg
0.5016 0.7190 0.7190 Mg
0.0026 0.1968 0.8221 Mg
0.0026 0.8221 0.1968 Mg
0.0026 0.3747 0.1779 Mg
0.5024 0.5176 0.8779 Mg
0.0026 0.1779 0.3747 Mg
0.0026 0.6253 0.8032 Mg
0.0020 0.4422 0.0000 Mg
0.5024 0.6397 0.1221 Mg
0.5031 0.1797 0.1797 Ba
0.5031 0.8203 0.0000 Ba
0.0024 0.6667 0.3333 Ba
0.0024 0.3333 0.6667 Ba
0.5031 0.0000 0.8203 Ba
0.0026 0.0000 0.6312 Ge
0.0014 0.8278 0.8278 Ge
0.0014 0.0000 0.1722 Ge
0.5027 0.1678 0.4781 Ge
0.0026 0.3688 0.3688 Ge
0.5027 0.3103 0.8322 Ge
0.0014 0.1722 0.0000 Ge
0.5027 0.6897 0.5219 Ge
0.5027 0.5219 0.6897 Ge
0.0101 0.0000 0.0000 Ge
0.5027 0.4781 0.1678 Ge
0.5027 0.8322 0.3103 Ge
0.0026 0.6312 0.0000 Ge


9.
InTe2OsI, optimized geometry, DFT PBEsol; Fermi-level density of states = 4.59 states/eV per cell; formation energy from raw total energies = 0.4724 eV per atom
1.0
-4.4476 -1.4312 -2.0971
0.2505 -4.4568 2.5103
-2.8251 2.3230 4.4061
In Te I Os
1 2 1 1
Direct
0.5000 0.5000 0.5000 In
0.5000 0.0000 0.0000 Te
0.0000 0.5000 0.0000 Te
0.0000 0.0000 0.5000 I
0.0000 0.0000 0.0000 Os


10.
Zr2SiNi, optimized geometry, DFT PBEsol; Fermi-level density of states = 2.58 states/eV per cell; formation energy from raw total energies = -0.4988 eV per atom
1.0
3.7887 0.0000 0.0000
0.0000 3.7887 0.0000
-1.8943 -1.8943 4.6135
Zr Ni Si
2 1 1
Direct
0.0000 0.0000 0.0000 Zr
0.2500 0.7500 0.5000 Zr
0.5000 0.5000 0.0000 Ni
0.7500 0.2500 0.5000 Si